The following is a PBE calculation of BaPd4Pt2 after structural relaxation, from Alexandria via LeMat-Bulk.

- Size of the total moment: 0.0 μB/f.u.
- Formation energy: -0.263 eV per atom
- DOS at the Fermi energy: 16.70 states/eV/cell

abc: 8.7833 6.9576 5.3919
angles: 90.00 127.72 90.00
Space group C2/m (No. 12)
Symmetry-distinct sites (fractional):
Ba1 0.0000 0.0000 0.0000 (multiplicity 2)
Pd1 0.1999 0.1997 0.6998 (multiplicity 8)
Pt1 0.9998 0.5000 0.2499 (multiplicity 4)